# 1
VASP calculation (GGA-PBE) on Pu3ThTc3 after structural relaxation.

The structure in POSCAR format:
```
Pu3ThTc3
1.0
7.0879 0.0000 0.0000
0.0000 7.0879 0.0000
0.0000 0.0000 7.0879
Pu Th Tc
6 2 6
Cartesian
0.0000 1.7720 3.5440
0.0000 5.3159 3.5440
1.7720 3.5440 0.0000
3.5440 0.0000 1.7720
3.5440 0.0000 5.3159
5.3159 3.5440 0.0000
0.0000 0.0000 0.0000
3.5440 3.5440 3.5440
0.0000 3.5440 1.7720
0.0000 3.5440 5.3159
1.7720 0.0000 3.5440
3.5440 1.7720 0.0000
3.5440 5.3159 0.0000
5.3159 0.0000 3.5440
```

Results
* crystal system: cubic
* magnetic moment: 13.06 μB/f.u.
* energy of formation from the pure elements: 498 kJ/mol of formula units
* space-group type: Pm-3n

---

# 2
VASP calculation (GGA-PBE) on ReHgO3 after structural relaxation.

The structure in POSCAR format:
```
ReHgO3
1.0
5.6035 0.0000 0.0000
0.0000 8.2513 0.0000
-1.5570 0.0000 9.8106
Re Hg O
4 4 12
Cartesian
0.0589 0.8279 0.9715
-0.7196 7.4234 5.8768
4.7661 0.8279 3.9338
3.9876 7.4234 8.8391
0.2386 3.2875 7.3465
1.0171 4.9637 2.4412
3.0294 3.2875 7.3694
3.8079 4.9637 2.4641
0.8041 2.3210 0.5253
0.0256 5.9303 5.4305
0.7285 0.7967 2.8744
-0.0500 7.4546 7.7797
0.3799 0.6923 5.5259
1.1584 7.5590 0.6207
2.8882 0.6923 9.1899
3.6667 7.5590 4.2846
4.0966 0.7967 2.0309
3.3180 7.4546 6.9362
4.0209 2.3210 4.3800
3.2424 5.9303 9.2853
```

Results
* crystal system: monoclinic
* magnetic moment: 0.00 μB/f.u.
* raw formation energy: -5.6 eV/f.u.
* space-group type: P2/c

---

# 3
VASP calculation (GGA-PBE) on MgZr2CdO after structural relaxation.

The structure in POSCAR format:
```
MgZr2CdO
1.0
4.5023 0.0000 0.0000
0.0000 4.5023 0.0000
0.0000 0.0000 4.4099
Mg Zr Cd O
1 2 1 1
Cartesian
0.0000 0.0000 0.0000
0.0000 2.2511 2.2049
2.2511 0.0000 2.2049
2.2511 2.2511 0.0000
0.0000 0.0000 2.2049
```

Results
* crystal system: tetragonal
* magnetic moment: 0.00 μB/f.u.
* raw formation energy: -4.9 eV/f.u.
* space-group type: P4/mmm

---

# 4
VASP calculation (GGA-PBE) on Cd2MoCl after structural relaxation.

The structure in POSCAR format:
```
Cd2MoCl
1.0
2.9097 0.0000 0.0000
0.0000 5.7355 0.0000
-0.0100 0.0000 4.8265
Cd Mo Cl
2 1 1
Cartesian
0.7033 0.0000 1.1914
2.1964 0.0000 3.6351
1.4549 2.8677 0.0000
1.4499 2.8677 2.4132
```

Results
* crystal system: monoclinic
* magnetic moment: 0.00 μB/f.u.
* E above lowest polymorph: 275 meV per atom
* raw formation energy: 1.6 eV/f.u.
* space-group type: P2/m

---

# 5
VASP calculation (GGA-PBE) on TaSi2Pd after structural relaxation.

The structure in POSCAR format:
```
TaSi2Pd
1.0
-3.3546 3.3546 2.9128
3.3546 -3.3546 2.9128
3.3546 3.3546 -2.9128
Ta Si Pd
2 4 2
Cartesian
0.0000 0.0000 0.0000
0.0000 3.3546 1.4564
1.6773 -1.5043 2.1846
1.8504 1.6773 0.7282
1.6773 4.8589 -0.7282
1.5043 1.6773 3.6411
3.3546 0.0000 1.4564
0.0000 0.0000 2.9128
```

Results
* crystal system: tetragonal
* magnetic moment: 0.00 μB/f.u.
* raw formation energy: 0.1 eV/f.u.
* space-group type: I-42d

---

# 6
VASP calculation (GGA-PBE) on ZrAlTl2Se5 after structural relaxation.

The structure in POSCAR format:
```
ZrAlTl2Se5
1.0
1.9442 -9.4002 0.0000
1.9442 9.4002 0.0000
0.0000 0.0000 13.6590
Zr Al Tl Se
2 2 4 10
Cartesian
1.9442 5.5597 6.8295
1.9442 -5.5597 0.0000
1.9442 1.1586 12.2599
1.9442 -1.1586 5.4304
1.9442 7.1811 10.9120
1.9442 7.1505 1.8992
1.9442 -7.1505 8.7287
1.9442 -7.1811 4.0825
1.9442 8.4911 6.8842
1.9442 3.8672 1.8445
1.9442 3.5166 11.7041
1.9442 2.9986 6.3489
1.9442 0.0610 3.3918
1.9442 -0.0610 10.2213
1.9442 -2.9986 13.1784
1.9442 -3.5166 4.8746
1.9442 -3.8672 8.6740
1.9442 -8.4911 0.0547
```

Results
* crystal system: orthorhombic
* magnetic moment: 0.00 μB/f.u.
* raw formation energy: -7.2 eV/f.u.
* space-group type: Cmc2_1

---

# 7
VASP calculation (GGA-PBE) on Cr2MoSe after structural relaxation.

The structure in POSCAR format:
```
Cr2MoSe
1.0
3.1076 0.0000 0.0000
0.0000 3.1076 0.0000
0.0000 0.0000 5.9894
Cr Mo Se
2 1 1
Cartesian
0.0000 0.0000 0.0000
1.5538 1.5538 1.2023
0.0000 0.0000 2.8631
1.5538 1.5538 4.3207
```

Results
* crystal system: tetragonal
* magnetic moment: 1.67 μB/f.u.
* raw formation energy: 0.7 eV/f.u.
* space-group type: P4mm

---

# 8
VASP calculation (GGA-PBE) on PrMoRh after structural relaxation.

The structure in POSCAR format:
```
PrMoRh
1.0
3.4450 0.0000 0.0000
0.0000 3.4450 0.0000
0.0000 0.0000 10.6179
Pr Mo Rh
2 2 2
Cartesian
0.0000 0.0000 1.8184
0.0000 0.0000 8.7994
1.7225 1.7225 4.1260
1.7225 1.7225 6.4919
0.0000 0.0000 5.3089
1.7225 1.7225 0.0000
```

Results
* crystal system: tetragonal
* magnetic moment: 0.00 μB/f.u.
* energy of formation from the pure elements: 21 kJ/mol of formula units
* space-group type: P4/mmm